Record 1
Here is a geometry-optimized BaCo2Ni structure from Alexandria via LeMat-Bulk. Energies are from PBE. Values from VASP.

Summary:
The space-group type is No. 99. For the excess energy over the best structure of this formula in the dataset, the calculation gives 0.3781 eV/atom. The calculation puts the total DFT energy (no corrections) at -19.8 eV/cell. As for the crystal system: tetragonal. As for the energy of formation from the pure elements: 534 meV/atom.

The structure in Quantum ESPRESSO input format:
```
&SYSTEM
  ibrav = 0, nat = 4, ntyp = 3
/
ATOMIC_SPECIES
Ni 58.69 Ni.upf
Co 58.93 Co.upf
Ba 137.33 Ba.upf
ATOMIC_POSITIONS crystal
Ni 0.0000 0.0000 0.4181
Co 0.0000 0.0000 0.0945
Co 0.5000 0.5000 0.2412
Ba 0.5000 0.5000 0.7461
CELL_PARAMETERS angstrom
3.1189 0.0000 0.0000
0.0000 3.1189 0.0000
0.0000 0.0000 7.2932
```

Record 2
Here is a geometry-optimized K2CdP structure from Alexandria via LeMat-Bulk. Energies are from PBE. Values from VASP.

Summary:
The space-group type is No. 8. For the excess energy over the best structure of this formula in the dataset, the calculation gives 0.0239 eV/atom. The calculation puts the total DFT energy (no corrections) at -9.1 eV/cell. As for the crystal system: monoclinic. As for the energy of formation from the pure elements: -155 meV/atom.

The structure in Quantum ESPRESSO input format:
```
&SYSTEM
  ibrav = 0, nat = 4, ntyp = 3
/
ATOMIC_SPECIES
K 39.10 K.upf
P 30.97 P.upf
Cd 112.41 Cd.upf
ATOMIC_POSITIONS crystal
K 0.7894 0.7894 0.7096
K 0.9789 0.9789 0.0207
P 0.5512 0.5512 0.4512
Cd 0.1805 0.1805 0.3185
CELL_PARAMETERS angstrom
-4.2090 -4.8517 -0.0794
-1.7778 -5.0947 3.4849
-4.5753 0.6858 3.1675
```

Record 3
Here is a geometry-optimized ReH2Ir structure from Alexandria via LeMat-Bulk. Energies are from PBE. Values from VASP.

Summary:
The space-group type is No. 122. For the excess energy over the best structure of this formula in the dataset, the calculation gives 0.0000 eV/atom. The calculation puts the total DFT energy (no corrections) at -52.8 eV/cell. As for the crystal system: tetragonal.

The structure in Quantum ESPRESSO input format:
```
&SYSTEM
  ibrav = 0, nat = 8, ntyp = 3
/
ATOMIC_SPECIES
Re 186.21 Re.upf
H 1.01 H.upf
Ir 192.22 Ir.upf
ATOMIC_POSITIONS crystal
Re 0.2500 0.7500 0.5000
Re 0.5000 0.5000 0.0000
H 0.3750 0.3674 0.7500
H 0.8750 0.8826 0.7500
H 0.1174 0.6250 0.2500
H 0.6326 0.1250 0.2500
Ir 0.7500 0.2500 0.5000
Ir 0.0000 0.0000 0.0000
CELL_PARAMETERS angstrom
4.1591 0.0000 0.0000
0.0000 4.1591 0.0000
2.0795 2.0795 4.1878
```